## CdHg4Se5 (PBE)

Data for CdHg4Se5 after structural relaxation.

It has space group R-3m (No. 166, hexagonal axes), with a = 4.0937 Å, b = 4.0937 Å, c = 50.1528 Å, α = 90.00°, β = 90.00° and γ = 120.00°. The distinct sites, in fractional coordinates, are Cd at (0.0000, 0.0000, 0.0000), Hg at (0.0000, 0.0000, 0.2002), Hg at (0.0000, 0.0000, 0.3997), Se at (0.0000, 0.0000, 0.0998), Se at (0.0000, 0.0000, 0.3010) and Se at (0.0000, 0.0000, 0.5000).

Its energy is -2.088 eV/atom. The excess energy over the best structure of this formula in the dataset is 0.1609 eV/atom. The value obtained for the uncorrected formation energy is -13 kJ/mol of atoms.